Here is a relaxed Sm4AgHg2Ru crystal from Alexandria. Energies are from PBE.

Lattice parameters (Å, degrees): 8.980 8.980 8.980 33.98 33.98 33.98
Sites, in units of the cell vectors:
Sm1 0.116 0.116 0.116
Sm2 0.369 0.369 0.369
Sm3 0.631 0.631 0.631
Sm4 0.884 0.884 0.884
Ag1 0.500 0.500 0.500
Hg1 0.243 0.243 0.243
Hg2 0.757 0.757 0.757
Ru1 0.000 0.000 0.000

Results
Total magnetic moment, μB/atom: 0.0000
Crystal system: trigonal
DFT formation energy, eV per formula unit: -2.9